(1)
DyAuSeO: relaxed, PBE-GGA.

Lattice parameters (Å, degrees): 5.5718 5.5701 9.4846 90.00 90.00 90.00
Atoms (fractional coordinates):
O  0.0000  0.2501  0.0000
O  0.5000  0.2501  0.0000
Au  0.0000  0.2500  0.5000
Dy  0.7500  0.0000  0.8829
Dy  0.2500  0.0000  0.1171
Au  0.5000  0.2500  0.5000
Dy  0.7500  0.5000  0.1175
Se  0.2500  0.5000  0.2824
Au  0.0000  0.7500  0.5000
Dy  0.2500  0.5000  0.8825
Se  0.7500  0.0000  0.2824
O  0.5000  0.7499  0.0000
Au  0.5000  0.7500  0.5000
O  0.0000  0.7499  0.0000
Se  0.7500  0.5000  0.7176
Se  0.2500  0.0000  0.7176

Calculated values
energy above the most stable polymorph in this dataset = 0.0873 eV/atom

***

(2)
FeCu2: relaxed, PBE-GGA.

Lattice parameters (Å, degrees): 3.9354 3.9354 3.9354 60.00 60.00 60.00
Each line ends with the local moment (μB).
Atoms (fractional coordinates):
Cu  0.2500  0.2500  0.2500  0.09
Cu  0.7500  0.7500  0.7500  0.09
Fe  0.0000  0.0000  0.0000  2.71

Calculated values
formation energy = 0.64 eV per atom

***

(3)
LiZrInNi: relaxed, PBE-GGA.

Lattice parameters (Å, degrees): 4.5723 4.5723 4.5723 59.89 59.89 59.89
Atoms (fractional coordinates):
In  0.2500  0.2500  0.2500
Li  0.7500  0.7500  0.7500
Ni  0.5000  0.5000  0.5000
Zr  0.0000  0.0000  0.0000

Calculated values
energy above the most stable polymorph in this dataset = 0.3793 eV/atom

***

(4)
LuNbAlNi: relaxed, PBE-GGA.

Lattice parameters (Å, degrees): 4.6247 4.6247 4.6247 60.00 60.00 60.00
Atoms (fractional coordinates):
Lu  0.5000  0.5000  0.5000
Al  0.0000  0.0000  0.0000
Ni  0.7500  0.7500  0.7500
Nb  0.2500  0.2500  0.2500

Calculated values
energy above the most stable polymorph in this dataset = 0.0000 eV/atom

***

(5)
LuTlCoMo: relaxed, PBE-GGA.

Lattice parameters (Å, degrees): 4.6983 4.6983 4.6983 60.00 60.00 60.00
Atoms (fractional coordinates):
Mo  0.2500  0.2500  0.2500
Lu  0.5000  0.5000  0.5000
Co  0.7500  0.7500  0.7500
Tl  0.0000  0.0000  0.0000

Calculated values
energy above the most stable polymorph in this dataset = 0.0000 eV/atom

***

(6)
MgIrPb2O6: relaxed, PBE-GGA.

Lattice parameters (Å, degrees): 5.5947 5.5947 5.5947 60.00 60.00 60.00
Atoms (fractional coordinates):
Pb  0.7500  0.7500  0.7500
O  0.7561  0.7561  0.2439
Pb  0.2500  0.2500  0.2500
O  0.2439  0.2439  0.7561
O  0.2439  0.7561  0.2439
Mg  0.5000  0.5000  0.5000
O  0.7561  0.2439  0.2439
Ir  0.0000  0.0000  0.0000
O  0.2439  0.7561  0.7561
O  0.7561  0.2439  0.7561

Calculated values
raw total energy = -6.00 eV per atom

***

(7)
Ni3AuN5: relaxed, PBE-GGA.

Lattice parameters (Å, degrees): 5.2986 5.2986 3.7880 90.00 90.00 120.00
Each line ends with the local moment (μB).
Atoms (fractional coordinates):
N  0.6667  0.3333  0.1643  0.00
N  0.3333  0.6667  0.8357  0.00
N  0.6667  0.3333  0.8357  0.00
Ni  0.0000  0.5000  0.5000  0.09
N  0.3333  0.6667  0.1643  0.00
Au  0.0000  0.0000  0.0000  0.04
Ni  0.5000  0.5000  0.5000  0.16
N  0.0000  0.0000  0.5000  0.09
Ni  0.5000  0.0000  0.5000  0.14

Calculated values
raw total energy = -6.21 eV per atom

***

(8)
ScCoSiIr: relaxed, PBE-GGA.

Lattice parameters (Å, degrees): 4.2819 4.2819 4.2819 60.00 60.00 60.00
Each line ends with the local moment (μB).
Atoms (fractional coordinates):
Co  0.7500  0.7500  0.7500  0.94
Sc  0.5000  0.5000  0.5000  -0.07
Si  0.0000  0.0000  0.0000  0.01
Ir  0.2500  0.2500  0.2500  0.17

Calculated values
energy above the most stable polymorph in this dataset = 0.0000 eV/atom

***

(9)
NbI3Br2: relaxed, PBE-GGA.

Lattice parameters (Å, degrees): 7.2036 7.7428 10.3842 109.78 91.21 115.74
Atoms (fractional coordinates):
Br  0.8908  0.3638  0.1447
I  0.5538  0.4227  0.6751
Br  0.7818  0.8325  0.0426
I  0.3076  0.0001  0.2436
I  0.4462  0.5773  0.3249
Br  0.2182  0.1675  0.9574
Nb  0.1001  0.2111  0.2126
Br  0.1092  0.6362  0.8553
I  0.0775  0.8153  0.5675
I  0.9225  0.1847  0.4325
Nb  0.8999  0.7889  0.7874
I  0.6924  0.9999  0.7564

Calculated values
energy above the most stable polymorph in this dataset = 0.0035 eV/atom

***

(10)
CdNiSbPt: relaxed, PBE-GGA.

Lattice parameters (Å, degrees): 4.6204 4.6204 4.6204 60.00 60.00 60.00
Atoms (fractional coordinates):
Ni  0.7500  0.7500  0.7500
Sb  0.0000  0.0000  0.0000
Cd  0.5000  0.5000  0.5000
Pt  0.2500  0.2500  0.2500

Calculated values
raw total energy = -4.26 eV per atom

***

(11)
Pr2Sc2Os: relaxed, PBE-GGA.

Lattice parameters (Å, degrees): 3.9578 3.9578 7.9773 90.00 90.00 90.00
Atoms (fractional coordinates):
Sc  0.5000  0.0000  0.5000
Os  0.0000  0.0000  0.0000
Pr  0.5000  0.5000  0.8228
Sc  0.0000  0.5000  0.5000
Pr  0.5000  0.5000  0.1772

Calculated values
formation energy = 0.77 eV per atom

***

(12)
DyYIn3Si2: relaxed, PBE-GGA.

Lattice parameters (Å, degrees): 5.7407 5.7407 6.9954 99.23 99.23 43.74
Atoms (fractional coordinates):
Y  0.3790  0.3790  0.1685
In  0.3047  0.3047  0.6502
Dy  0.6210  0.6210  0.8317
Si  0.9072  0.9072  0.8819
In  0.0002  0.0002  0.5004
Si  0.0929  0.0929  0.1172
In  0.6951  0.6951  0.3501

Calculated values
raw total energy = -4.74 eV per atom